1.
Mn2OsRh after structural relaxation. Source: Alexandria via LeMat-Bulk, functional PBEsol.

Density of states at the Fermi level in states/eV per cell: 9.22
Uncorrected energy in eV/atom: -9.864

Cell and atoms, written as CIF:
```
data_Mn2OsRh
_chemical_formula_sum 'Mn4 Os2 Rh2'
_cell_length_a 8.487
_cell_length_b 2.602
_cell_length_c 4.534
_cell_angle_alpha 90.00
_cell_angle_beta 100.05
_cell_angle_gamma 90.00
_symmetry_space_group_name_H-M 'C 1 2/m 1'
_symmetry_Int_Tables_number 12
loop_
_symmetry_equiv_pos_as_xyz
'x,y,z'
'-x,-y,-z'
'-x,y,-z'
'x,-y,z'
'x+1/2,y+1/2,z'
'-x+1/2,-y+1/2,-z'
'-x+1/2,y+1/2,-z'
'x+1/2,-y+1/2,z'
loop_
_atom_site_label
_atom_site_type_symbol
_atom_site_fract_x
_atom_site_fract_y
_atom_site_fract_z
Mn1 Mn 0.250 0.000 0.246
Os1 Os 0.000 0.500 0.000
Rh1 Rh 0.000 0.000 0.500
```

2.
Zr2MnOsRh after structural relaxation. Source: Alexandria via LeMat-Bulk, functional PBEsol.

Density of states at the Fermi level in states/eV per cell: 5.60
Uncorrected energy in eV/atom: -8.931

Cell and atoms, written as CIF:
```
data_Zr2MnOsRh
_chemical_formula_sum 'Zr2 Mn1 Os1 Rh1'
_cell_length_a 4.638
_cell_length_b 4.638
_cell_length_c 4.201
_cell_angle_alpha 90.00
_cell_angle_beta 90.00
_cell_angle_gamma 90.00
_symmetry_space_group_name_H-M 'P 4/m m m'
_symmetry_Int_Tables_number 123
_symmetry_space_group_name_Hall '-P 4 2'
loop_
_atom_site_label
_atom_site_type_symbol
_atom_site_fract_x
_atom_site_fract_y
_atom_site_fract_z
Zr1 Zr 0.000 0.500 0.000
Mn1 Mn 0.000 0.000 0.000
Os1 Os 0.500 0.500 0.500
Rh1 Rh 0.000 0.000 0.500
```

3.
Mn2OsRu after structural relaxation. Source: Alexandria via LeMat-Bulk, functional PBEsol.

Density of states at the Fermi level in states/eV per cell: 6.99
Uncorrected energy in eV/atom: -10.457

Cell and atoms, written as CIF:
```
data_Mn2OsRu
_chemical_formula_sum 'Mn4 Os2 Ru2'
_cell_length_a 3.927
_cell_length_b 2.621
_cell_length_c 9.383
_cell_angle_alpha 90.00
_cell_angle_beta 90.00
_cell_angle_gamma 90.00
_symmetry_space_group_name_H-M 'A m m 2'
_symmetry_Int_Tables_number 38
loop_
_symmetry_equiv_pos_as_xyz
'x,y,z'
'-x,-y,z'
'-x,y,z'
'x,-y,z'
'x,y+1/2,z+1/2'
'-x,-y+1/2,z+1/2'
'-x,y+1/2,z+1/2'
'x,-y+1/2,z+1/2'
loop_
_atom_site_label
_atom_site_type_symbol
_atom_site_fract_x
_atom_site_fract_y
_atom_site_fract_z
Mn1 Mn 0.000 0.000 0.000
Mn2 Mn 0.500 0.000 0.115
Os1 Os 0.500 0.000 0.384
Ru1 Ru 0.000 0.000 0.730
```

What size of the total moment values result from the calculations? In sequence: 0.490 0.000 0.000 μB per atom.